Density functional theory data (PBE-GGA) for an optimized crystal structure of NdGa7Ni5.

Lattice parameters (Å, degrees): 5.0927 8.7460 8.5255 90.00 90.00 90.00
Space group Imm2 (No. 44)
One atom of each set of equivalent atoms:
Nd (0.0000, 0.0000, 0.0000)
Ga (0.0000, 0.0000, 0.3560)
Ga (0.0000, 0.0000, 0.6599)
Ga (0.0000, 0.2958, 0.4919)
Ga (0.0000, 0.3448, 0.0215)
Ga (0.0000, 0.5000, 0.7383)
Ni (0.0000, 0.5000, 0.2705)
Ni (0.2470, 0.2597, 0.7533)

Values from the calculation:
N(E_F) = 0.586 states/eV/atom
VASP energy = -60.62 eV per formula unit
total moment = 0.000 μB/cell